#one
Compound: TlCu3Te3
Source: Alexandria
Functional: GGA-PBE
Structure: optimized geometry

Lattice parameters (Å, degrees): 7.2935 7.2935 7.2935 90.00 90.00 90.00
Fractional coordinates of all 14 atoms:
1 Cu 0.0000 0.5000 0.2500
2 Cu 0.2500 0.0000 0.5000
3 Cu 0.7500 0.0000 0.5000
4 Cu 0.5000 0.2500 0.0000
5 Cu 0.0000 0.5000 0.7500
6 Cu 0.5000 0.7500 0.0000
7 Tl 0.0000 0.0000 0.0000
8 Tl 0.5000 0.5000 0.5000
9 Te 0.5000 0.0000 0.7500
10 Te 0.2500 0.5000 0.0000
11 Te 0.0000 0.7500 0.5000
12 Te 0.5000 0.0000 0.2500
13 Te 0.0000 0.2500 0.5000
14 Te 0.7500 0.5000 0.0000

Values from the calculation:
Calculated volume in Å³ per cell: 387.97

***

#two
Compound: TlCu3Te3
Source: Alexandria
Functional: GGA-PBE
Structure: optimized geometry

Lattice parameters (Å, degrees): 4.1536 9.5299 9.5299 120.00 90.00 90.00
Fractional coordinates of all 14 atoms:
1 Cu 0.2500 0.9771 0.8241
2 Cu 0.7500 0.1531 0.9771
3 Cu 0.2500 0.1759 0.1531
4 Cu 0.7500 0.8241 0.8469
5 Cu 0.7500 0.0229 0.1759
6 Cu 0.2500 0.8469 0.0229
7 Te 0.7500 0.6814 0.0424
8 Te 0.7500 0.3610 0.3186
9 Te 0.2500 0.0424 0.3610
10 Te 0.2500 0.3186 0.9576
11 Te 0.2500 0.6390 0.6814
12 Te 0.7500 0.9576 0.6390
13 Tl 0.7500 0.3333 0.6667
14 Tl 0.2500 0.6667 0.3333

Values from the calculation:
Calculated volume in Å³ per cell: 326.69

***

Q: Which of them is the least stable? A: #two.

***

#one
Compound: Tm3CuTe2
Source: Alexandria
Functional: GGA-PBE
Structure: optimized geometry

Lattice parameters (Å, degrees): 7.2069 7.2069 7.5071 99.27 99.27 119.97
Fractional coordinates of all 12 atoms:
1 Tm 0.7681 0.7433 0.2247
2 Tm 0.2567 0.2319 0.7753
3 Tm 0.8986 0.5900 0.7753
4 Tm 0.4100 0.1014 0.2247
5 Tm 0.6196 0.9529 0.7824
6 Tm 0.0471 0.3804 0.2176
7 Te 0.3333 0.6667 0.0000
8 Te 0.1776 0.8224 0.5000
9 Te 0.4890 0.5110 0.5000
10 Te 0.8333 0.1667 0.5000
11 Cu 0.0026 0.9974 0.0000
12 Cu 0.6641 0.3359 0.0000

Values from the calculation:
Calculated volume in Å³ per cell: 319.78

***

#two
Compound: Tm3CuTe2
Source: Alexandria
Functional: GGA-PBE
Structure: optimized geometry

Lattice parameters (Å, degrees): 4.1430 5.9714 7.7527 112.65 90.00 90.00
Fractional coordinates of all 6 atoms:
1 Te 0.5000 0.3397 0.6795
2 Te 0.5000 0.6603 0.3205
3 Cu 0.0000 0.0000 0.0000
4 Tm 0.5000 0.1234 0.2468
5 Tm 0.0000 0.5000 0.0000
6 Tm 0.5000 0.8766 0.7532

Values from the calculation:
Calculated volume in Å³ per cell: 177.00

***

Q: Which of them is the least stable? A: #two.

***

#one
Compound: Tm2CuTe
Source: Alexandria
Functional: GGA-PBE
Structure: optimized geometry

Lattice parameters (Å, degrees): 4.0279 4.0279 7.6357 74.71 74.71 60.00
Fractional coordinates of all 4 atoms:
1 Cu 0.0000 0.0000 0.0000
2 Tm 0.2603 0.2603 0.2192
3 Tm 0.7397 0.7397 0.7808
4 Te 0.5000 0.5000 0.5000

Values from the calculation:
Calculated volume in Å³ per cell: 102.19

***

#two
Compound: Tm2CuTe
Source: Alexandria
Functional: GGA-PBE
Structure: optimized geometry

Lattice parameters (Å, degrees): 4.3535 3.9736 11.5144 99.94 90.00 90.00
Fractional coordinates of all 8 atoms:
1 Te 0.7500 0.8038 0.6075
2 Te 0.2500 0.1962 0.3925
3 Tm 0.7500 0.9416 0.8831
4 Tm 0.7500 0.6607 0.3214
5 Tm 0.2500 0.0584 0.1169
6 Tm 0.2500 0.3393 0.6786
7 Cu 0.7500 0.5345 0.0690
8 Cu 0.2500 0.4655 0.9310

Values from the calculation:
Calculated volume in Å³ per cell: 196.20

***

#three
Compound: Tm2CuTe
Source: Alexandria
Functional: GGA-PBE
Structure: optimized geometry

Lattice parameters (Å, degrees): 3.7165 3.7165 6.7695 90.00 90.00 90.00
Fractional coordinates of all 4 atoms:
1 Tm 0.0000 0.0000 0.7660
2 Tm 0.0000 0.0000 0.2340
3 Te 0.5000 0.5000 0.5000
4 Cu 0.5000 0.5000 0.0000

Values from the calculation:
Calculated volume in Å³ per cell: 93.50

***

Q: Which of them is the least stable? A: #three.

***

#one
Compound: UCu2Te3
Source: Alexandria
Functional: GGA-PBE
Structure: optimized geometry

Lattice parameters (Å, degrees): 4.0963 7.0413 11.5215 100.41 90.00 90.00
Fractional coordinates of all 12 atoms:
1 U 0.7500 0.3246 0.6817
2 U 0.2500 0.6754 0.3183
3 Te 0.7500 0.9001 0.2034
4 Te 0.2500 0.2812 0.4653
5 Te 0.2500 0.0999 0.7966
6 Te 0.2500 0.3346 0.1247
7 Te 0.7500 0.7188 0.5347
8 Te 0.7500 0.6654 0.8753
9 Cu 0.7500 0.5412 0.0808
10 Cu 0.7500 0.0360 0.4309
11 Cu 0.2500 0.9640 0.5691
12 Cu 0.2500 0.4588 0.9192

Values from the calculation:
Calculated volume in Å³ per cell: 326.85

***

#two
Compound: UCu2Te3
Source: Alexandria
Functional: GGA-PBE
Structure: optimized geometry

Lattice parameters (Å, degrees): 4.2314 7.9042 11.1738 109.97 90.00 90.00
Fractional coordinates of all 12 atoms:
1 Te 0.2500 0.0537 0.8462
2 Te 0.2500 0.4520 0.1618
3 Te 0.7500 0.9463 0.1538
4 Te 0.7500 0.7337 0.4841
5 Te 0.2500 0.2663 0.5159
6 Te 0.7500 0.5480 0.8382
7 Cu 0.2500 0.4116 0.9147
8 Cu 0.7500 0.5884 0.0853
9 Cu 0.7500 0.1310 0.3922
10 Cu 0.2500 0.8690 0.6078
11 U 0.2500 0.8408 0.3137
12 U 0.7500 0.1592 0.6863

Values from the calculation:
Calculated volume in Å³ per cell: 351.24

***

Q: Which of them is the least stable? A: #one.

***

#one
Compound: VCu3Te4
Source: Alexandria
Functional: GGA-PBE
Structure: optimized geometry

Lattice parameters (Å, degrees): 6.9986 7.2511 8.3643 90.00 90.00 90.00
Fractional coordinates of all 16 atoms:
1 V 0.5052 0.8310 0.5000
2 V 0.0052 0.1690 0.0000
3 Te 0.1260 0.3328 0.2503
4 Te 0.1275 0.8397 0.0000
5 Te 0.6260 0.6672 0.2497
6 Te 0.6429 0.1725 0.0000
7 Te 0.1260 0.3328 0.7497
8 Te 0.6260 0.6672 0.7503
9 Te 0.6275 0.1603 0.5000
10 Te 0.1429 0.8275 0.5000
11 Cu 0.9954 0.6678 0.2493
12 Cu 0.4954 0.3322 0.2507
13 Cu 0.9954 0.6678 0.7507
14 Cu 0.4970 0.8420 0.0000
15 Cu 0.4954 0.3322 0.7493
16 Cu 0.9969 0.1580 0.5000

Values from the calculation:
Calculated volume in Å³ per cell: 424.47

***

#two
Compound: VCu3Te4
Source: Alexandria
Functional: GGA-PBE
Structure: optimized geometry

Lattice parameters (Å, degrees): 5.9386 5.9386 5.9386 90.00 90.00 90.00
Fractional coordinates of all 8 atoms:
1 Te 0.7487 0.2513 0.7487
2 Te 0.7487 0.7487 0.2513
3 Te 0.2513 0.2513 0.2513
4 Te 0.2513 0.7487 0.7487
5 Cu 0.5000 0.0000 0.0000
6 Cu 0.0000 0.5000 0.0000
7 Cu 0.0000 0.0000 0.5000
8 V 0.0000 0.0000 0.0000

Values from the calculation:
Calculated volume in Å³ per cell: 209.44

***

Q: Which of them is the least stable? A: #one.

***

#one
Compound: CuTe3W
Source: Alexandria
Functional: GGA-PBE
Structure: optimized geometry

Lattice parameters (Å, degrees): 5.2815 5.2815 5.2815 90.00 90.00 90.00
Fractional coordinates of all 5 atoms:
1 Cu 0.5000 0.5000 0.5000
2 Te 0.0000 0.5000 0.0000
3 Te 0.5000 0.0000 0.0000
4 Te 0.0000 0.0000 0.5000
5 W 0.0000 0.0000 0.0000

Values from the calculation:
Calculated volume in Å³ per cell: 147.32

***

#two
Compound: CuTe3W
Source: Alexandria
Functional: GGA-PBE
Structure: optimized geometry

Lattice parameters (Å, degrees): 5.0238 5.0238 5.0238 90.00 90.00 90.00
Fractional coordinates of all 5 atoms:
1 W 0.5000 0.5000 0.5000
2 Te 0.0000 0.0000 0.5000
3 Te 0.5000 0.0000 0.0000
4 Te 0.0000 0.5000 0.0000
5 Cu 0.0000 0.0000 0.0000

Values from the calculation:
Calculated volume in Å³ per cell: 126.80

***

Q: Which of them is the least stable? A: #two.

***

#one
Compound: CuTeW3
Source: Alexandria
Functional: GGA-PBE
Structure: optimized geometry

Lattice parameters (Å, degrees): 4.5885 4.5885 4.5885 90.00 90.00 90.00
Fractional coordinates of all 5 atoms:
1 Te 0.5000 0.5000 0.5000
2 Cu 0.0000 0.0000 0.0000
3 W 0.0000 0.0000 0.5000
4 W 0.0000 0.5000 0.0000
5 W 0.5000 0.0000 0.0000

Values from the calculation:
Calculated volume in Å³ per cell: 96.61

***

#two
Compound: CuTeW3
Source: Alexandria
Functional: GGA-PBE
Structure: optimized geometry

Lattice parameters (Å, degrees): 4.8663 4.8663 4.8663 90.00 90.00 90.00
Fractional coordinates of all 5 atoms:
1 Cu 0.5000 0.5000 0.5000
2 W 0.5000 0.0000 0.0000
3 W 0.0000 0.5000 0.0000
4 W 0.0000 0.0000 0.5000
5 Te 0.0000 0.0000 0.0000

Values from the calculation:
Calculated volume in Å³ per cell: 115.24

***

Q: Which of them is the least stable? A: #two.

***

#one
Compound: YCu3Te
Source: Alexandria
Functional: GGA-PBE
Structure: optimized geometry

Lattice parameters (Å, degrees): 4.8692 4.8692 4.8692 90.00 90.00 90.00
Fractional coordinates of all 5 atoms:
1 Te 0.0000 0.0000 0.0000
2 Cu 0.0000 0.5000 0.0000
3 Cu 0.0000 0.0000 0.5000
4 Cu 0.5000 0.0000 0.0000
5 Y 0.5000 0.5000 0.5000

Values from the calculation:
Calculated volume in Å³ per cell: 115.45

***

#two
Compound: YCu3Te
Source: Alexandria
Functional: GGA-PBE
Structure: optimized geometry

Lattice parameters (Å, degrees): 5.0688 5.0688 5.0688 90.00 90.00 90.00
Fractional coordinates of all 5 atoms:
1 Y 0.0000 0.0000 0.0000
2 Cu 0.0000 0.5000 0.0000
3 Cu 0.5000 0.0000 0.0000
4 Cu 0.0000 0.0000 0.5000
5 Te 0.5000 0.5000 0.5000

Values from the calculation:
Calculated volume in Å³ per cell: 130.23

***

Q: Which of them is the least stable? A: #two.

***

#one
Compound: Y2CuTe2
Source: Alexandria
Functional: GGA-PBE
Structure: optimized geometry

Lattice parameters (Å, degrees): 8.1038 8.1038 4.1023 90.00 90.00 90.00
Fractional coordinates of all 10 atoms:
1 Y 0.6524 0.1524 0.0000
2 Y 0.8476 0.6524 0.0000
3 Y 0.1524 0.3476 0.0000
4 Y 0.3476 0.8476 0.0000
5 Te 0.3486 0.1514 0.5000
6 Te 0.6514 0.8486 0.5000
7 Te 0.8486 0.3486 0.5000
8 Te 0.1514 0.6514 0.5000
9 Cu 0.5000 0.5000 0.0000
10 Cu 0.0000 0.0000 0.0000

Values from the calculation:
Calculated volume in Å³ per cell: 269.41

***

#two
Compound: Y2CuTe2
Source: Alexandria
Functional: GGA-PBE
Structure: optimized geometry

Lattice parameters (Å, degrees): 8.0735 8.0735 3.9860 90.00 90.00 90.00
Fractional coordinates of all 10 atoms:
1 Te 0.6513 0.1513 0.0000
2 Te 0.3487 0.8487 0.0000
3 Te 0.8487 0.6513 0.0000
4 Te 0.1513 0.3487 0.0000
5 Y 0.1517 0.6517 0.5000
6 Y 0.6517 0.8483 0.5000
7 Y 0.8483 0.3483 0.5000
8 Y 0.3483 0.1517 0.5000
9 Cu 0.0000 0.0000 0.0000
10 Cu 0.5000 0.5000 0.0000

Values from the calculation:
Calculated volume in Å³ per cell: 259.81

***

Q: Which of them is the least stable? A: #two.

***

#one
Compound: YCu2Te2
Source: Alexandria
Functional: GGA-PBE
Structure: optimized geometry

Lattice parameters (Å, degrees): 3.8907 3.8907 7.7370 75.44 75.44 90.00
Fractional coordinates of all 5 atoms:
1 Cu 0.7500 0.2500 0.5000
2 Cu 0.2500 0.7500 0.5000
3 Te 0.6195 0.6195 0.7611
4 Te 0.3805 0.3805 0.2389
5 Y 0.0000 0.0000 0.0000

Values from the calculation:
Calculated volume in Å³ per cell: 109.46

***

#two
Compound: YCu2Te2
Source: Alexandria
Functional: GGA-PBE
Structure: optimized geometry

Lattice parameters (Å, degrees): 5.1549 5.1549 5.6018 62.61 62.61 90.00
Fractional coordinates of all 5 atoms:
1 Te 0.7500 0.2500 0.5000
2 Te 0.2500 0.7500 0.5000
3 Y 0.0000 0.0000 0.0000
4 Cu 0.3570 0.3570 0.2860
5 Cu 0.6430 0.6430 0.7140

Values from the calculation:
Calculated volume in Å³ per cell: 113.03

***

Q: Which of them is the least stable? A: #two.

***

#one
Compound: Y2Cu2Te
Source: Alexandria
Functional: GGA-PBE
Structure: optimized geometry

Lattice parameters (Å, degrees): 7.9545 7.9545 3.9327 90.00 90.00 90.00
Fractional coordinates of all 10 atoms:
1 Te 0.0000 0.0000 0.0000
2 Te 0.5000 0.5000 0.0000
3 Y 0.8308 0.6692 0.0000
4 Y 0.3308 0.8308 0.0000
5 Y 0.1692 0.3308 0.0000
6 Y 0.6692 0.1692 0.0000
7 Cu 0.8889 0.3889 0.5000
8 Cu 0.6111 0.8889 0.5000
9 Cu 0.3889 0.1111 0.5000
10 Cu 0.1111 0.6111 0.5000

Values from the calculation:
Calculated volume in Å³ per cell: 248.84

***

#two
Compound: Y2Cu2Te
Source: Alexandria
Functional: GGA-PBE
Structure: optimized geometry

Lattice parameters (Å, degrees): 7.4812 7.4812 3.9310 90.00 90.00 90.00
Fractional coordinates of all 10 atoms:
1 Y 0.1700 0.6700 0.5000
2 Y 0.8300 0.3300 0.5000
3 Y 0.6700 0.8300 0.5000
4 Y 0.3300 0.1700 0.5000
5 Te 0.0000 0.0000 0.0000
6 Te 0.5000 0.5000 0.0000
7 Cu 0.1171 0.3829 0.0000
8 Cu 0.6171 0.1171 0.0000
9 Cu 0.8829 0.6171 0.0000
10 Cu 0.3829 0.8829 0.0000

Values from the calculation:
Calculated volume in Å³ per cell: 220.01

***

Q: Which of them is the least stable? A: #one.

***

#one
Compound: ZnCu3Te
Source: Alexandria
Functional: GGA-PBE
Structure: optimized geometry

Lattice parameters (Å, degrees): 4.5380 4.5380 4.5380 90.00 90.00 90.00
Fractional coordinates of all 5 atoms:
1 Te 0.5000 0.5000 0.5000
2 Cu 0.0000 0.5000 0.0000
3 Cu 0.0000 0.0000 0.5000
4 Cu 0.5000 0.0000 0.0000
5 Zn 0.0000 0.0000 0.0000

Values from the calculation:
Calculated volume in Å³ per cell: 93.45

***

#two
Compound: ZnCu3Te
Source: Alexandria
Functional: GGA-PBE
Structure: optimized geometry

Lattice parameters (Å, degrees): 4.9397 4.9397 4.9397 90.00 90.00 90.00
Fractional coordinates of all 5 atoms:
1 Cu 0.0000 0.0000 0.5000
2 Cu 0.0000 0.5000 0.0000
3 Cu 0.5000 0.0000 0.0000
4 Zn 0.5000 0.5000 0.5000
5 Te 0.0000 0.0000 0.0000

Values from the calculation:
Calculated volume in Å³ per cell: 120.53

***

Q: Which of them is the least stable? A: #two.